Compound: In2HgBi
Source: Alexandria via LeMat-Bulk
Functional: PBE
Structure: relaxed

Cell and atoms, written as POSCAR:
```
In2HgBi
1.0
0.000 3.873 3.873
3.873 0.000 3.873
3.873 3.873 0.000
In Hg Bi
2 1 1
direct
0.250 0.250 0.250
0.750 0.750 0.750
0.000 0.000 0.000
0.500 0.500 0.500
```

Summary:
total energy = -9.7 eV for the cell shown
calculated volume = 29.04 Å³/atom
calculated formation energy = -0.0186 eV/atom
crystal system = cubic
density of states at the Fermi level = 1.47 states/eV/f.u.
polymorph energy (0 for the lowest one) = 0 meV/atom
total moment = 0.000 μB per formula unit